# NdSmBi2

Crystalline NdSmBi2 at its relaxed geometry (GGA-PBE, Alexandria via LeMat-Bulk).

- VASP energy (eV/atom) = -5.25
- DOS at the Fermi energy (states/eV/f.u.) = 0.65
- calculated volume (A^3/atom) = 34.049
- space group = No. 59
- E_form (meV per atom) = -939

```
NdSmBi2
1.0
4.586 0.000 0.000
0.000 6.479 0.000
0.000 0.000 9.167
Nd Sm Bi
2 2 4
Cartesian
1.146 1.620 1.148
3.439 4.859 8.019
1.146 1.620 5.727
3.439 4.859 3.441
1.146 4.859 1.168
1.146 4.859 5.709
3.439 1.620 3.459
3.439 1.620 8.000
```